No. 1
# BeTlPb2

An optimized crystal structure of BeTlPb2 (PBE, Alexandria).

Lattice parameters (Å, degrees): 3.446 3.446 8.645 90.00 90.00 90.00
Space group P4mm (No. 99)
One atom of each set of equivalent atoms:
1 Be 0.000 0.000 0.000 (multiplicity 1)
2 Tl 0.500 0.500 0.803 (multiplicity 1)
3 Pb 0.000 0.000 0.504 (multiplicity 1)
4 Pb 0.500 0.500 0.195 (multiplicity 1)

For the density of states at the Fermi level, the calculation gives 2.60 states/eV/cell. The excess energy over the best structure of this formula in the dataset is 0.0940 eV/atom.

---

No. 2
# BeTlPb2

An optimized crystal structure of BeTlPb2 (PBE, Alexandria).

Lattice parameters (Å, degrees): 4.329 5.431 8.727 90.00 90.00 90.00
Space group Cmm2 (No. 35)
One atom of each set of equivalent atoms:
1 Be 0.000 0.000 0.000 (multiplicity 2)
2 Tl 0.000 0.500 0.807 (multiplicity 2)
3 Pb 0.000 0.000 0.510 (multiplicity 2)
4 Pb 0.000 0.500 0.194 (multiplicity 2)

For the density of states at the Fermi level, the calculation gives 1.54 states/eV/cell. The excess energy over the best structure of this formula in the dataset is 0.0681 eV/atom.

---

No. 3
# BeTlPb2

An optimized crystal structure of BeTlPb2 (PBE, Alexandria).

Lattice parameters (Å, degrees): 4.778 4.778 9.337 90.00 90.00 90.00
Space group I4/mmm (No. 139)
One atom of each set of equivalent atoms:
1 Be 0.000 0.000 0.000 (multiplicity 2)
2 Tl 0.000 0.000 0.500 (multiplicity 2)
3 Pb 0.000 0.500 0.250 (multiplicity 4)

For the density of states at the Fermi level, the calculation gives 3.01 states/eV/cell. The excess energy over the best structure of this formula in the dataset is 0.2084 eV/atom.

---

No. 4
# BeTlPb2

An optimized crystal structure of BeTlPb2 (PBE, Alexandria).

Lattice parameters (Å, degrees): 3.432 5.618 11.038 90.00 90.00 90.00
Space group Immm (No. 71)
One atom of each set of equivalent atoms:
1 Be 0.000 0.000 0.000 (multiplicity 2)
2 Tl 0.000 0.000 0.500 (multiplicity 2)
3 Pb 0.000 0.500 0.306 (multiplicity 4)

For the density of states at the Fermi level, the calculation gives 3.81 states/eV/cell. The excess energy over the best structure of this formula in the dataset is 0.0723 eV/atom.

---

No. 5
# BeTlPb2

An optimized crystal structure of BeTlPb2 (PBE, Alexandria).

Lattice parameters (Å, degrees): 7.536 7.536 7.536 90.00 90.00 90.00
Space group Fm-3m (No. 225)
One atom of each set of equivalent atoms:
1 Be 0.000 0.000 0.000 (multiplicity 4)
2 Tl 0.000 0.000 0.500 (multiplicity 4)
3 Pb 0.250 0.250 0.250 (multiplicity 8)

For the density of states at the Fermi level, the calculation gives 11.78 states/eV/cell. The excess energy over the best structure of this formula in the dataset is 0.2212 eV/atom.

---

No. 6
# BeTlPb2

An optimized crystal structure of BeTlPb2 (PBE, Alexandria).

Lattice parameters (Å, degrees): 3.7327 3.7327 25.9316 90.00 90.00 120.00
Space group R3m (No. 160, hexagonal axes)
One atom of each set of equivalent atoms:
1 Be 0.0000 0.0000 0.0000 (multiplicity 3)
2 Tl 0.0000 0.0000 0.2714 (multiplicity 3)
3 Pb 0.0000 0.0000 0.5015 (multiplicity 3)
4 Pb 0.0000 0.0000 0.7302 (multiplicity 3)

For the density of states at the Fermi level, the calculation gives 7.45 states/eV/cell. The excess energy over the best structure of this formula in the dataset is 0.0724 eV/atom.

---

No. 7
# BeTlPb

An optimized crystal structure of BeTlPb (PBE, Alexandria).

Lattice parameters (Å, degrees): 4.023 4.566 8.386 79.20 89.96 89.99
Space group P-1 (No. 2)
One atom of each set of equivalent atoms:
1 Be 0.250 0.092 0.007 (multiplicity 2)
2 Tl 0.249 0.787 0.376 (multiplicity 2)
3 Pb 0.250 0.665 0.838 (multiplicity 2)

For the density of states at the Fermi level, the calculation gives 1.58 states/eV/cell. The excess energy over the best structure of this formula in the dataset is 0.0587 eV/atom.

---

No. 8
# BeTlPb

An optimized crystal structure of BeTlPb (PBE, Alexandria).

Lattice parameters (Å, degrees): 4.2285 4.2285 4.7886 90.00 90.00 120.00
Space group P3m1 (No. 156)
One atom of each set of equivalent atoms:
1 Be 0.0000 0.0000 0.0000 (multiplicity 1)
2 Tl 0.3333 0.6667 0.7299 (multiplicity 1)
3 Pb 0.6667 0.3333 0.2330 (multiplicity 1)

For the density of states at the Fermi level, the calculation gives 1.51 states/eV/cell. The excess energy over the best structure of this formula in the dataset is 0.2625 eV/atom.